Computed, not measured: a relaxed structure of U3PaTl3S8 at the GGA-PBE level of DFT.

DFT total energy ... -301.91 eV per cell

CIF file:
```
data_U3PaTl3S8
_chemical_formula_sum 'U9 Pa3 Tl9 S24'
_cell_length_a 7.9961
_cell_length_b 7.9961
_cell_length_c 22.9831
_cell_angle_alpha 90.00
_cell_angle_beta 90.00
_cell_angle_gamma 120.00
_symmetry_space_group_name_H-M 'R -3 m'
_symmetry_Int_Tables_number 166
_symmetry_space_group_name_Hall '-R 3 2"'
loop_
_atom_site_label
_atom_site_fract_x
_atom_site_fract_y
_atom_site_fract_z
U1 0.0000 0.5000 0.0000
Pa1 0.0000 0.0000 0.0000
Tl1 0.0000 0.5000 0.5000
S1 0.0000 0.0000 0.2681
S2 0.0030 0.5015 0.7318
```